(1)
Below is a crystal of Cu2SiCl relaxed with PBEsol, with properties calculated at the SCAN level.

Cell: 4.3660 4.3660 4.3660 Å, 60.00 60.00 60.00°
Last column: nearest neighbours and their distance in Å.
Fractional coordinates of all 4 atoms:
1 Cl 0.0000 0.0000 0.0000  8 Cu 2.67
2 Si 0.5000 0.5000 0.5000  8 Cu 2.67
3 Cu 0.7500 0.7500 0.7500  4 Si 2.67, 4 Cl 2.67
4 Cu 0.2500 0.2500 0.2500  4 Cl 2.67, 4 Si 2.67

Properties
Energy relative to the elements, uncorrected, eV per atom: 0.777
Calculated total energy, eV per cell: -45.28
Size of the total moment, μB/f.u.: 0.0
Crystal system: cubic
Energy above the most stable polymorph in this dataset, kJ/mol of formula units: 249


(2)
Below is a crystal of CuSi2Cl relaxed with PBEsol, with properties calculated at the SCAN level.

Cell: 3.7929 3.7929 6.0802 Å, 71.83 71.83 60.00°
Last column: nearest neighbours and their distance in Å.
Fractional coordinates of all 4 atoms:
1 Cu 0.0000 0.0000 0.0000  6 Si 2.33
2 Si 0.7135 0.7135 0.8596  3 Cu 2.33
3 Si 0.2865 0.2865 0.1404  3 Cu 2.33
4 Cl 0.5000 0.5000 0.5000  6 Si 2.99

Properties
Energy relative to the elements, uncorrected, eV per atom: 0.241
Calculated total energy, eV per cell: -42.25
Size of the total moment, μB/f.u.: 0.0
Crystal system: trigonal


(3)
Below is a crystal of CuSiCl relaxed with PBEsol, with properties calculated at the SCAN level.

Cell: 4.3802 4.3802 4.3802 Å, 60.00 60.00 60.00°
Last column: nearest neighbours and their distance in Å.
Fractional coordinates of all 3 atoms:
1 Cu 0.0000 0.0000 0.0000  4 Cl 2.68
2 Si 0.5000 0.5000 0.5000  4 Cl 2.68
3 Cl 0.7500 0.7500 0.7500  4 Si 2.68, 4 Cu 2.68

Properties
Energy relative to the elements, uncorrected, eV per atom: 1.176
Calculated total energy, eV per cell: -29.66
Size of the total moment, μB/f.u.: 0.0
Crystal system: cubic


What did the third record say?
Below is a crystal of CuSiCl relaxed with PBEsol, with properties calculated at the SCAN level.

Cell: 4.3802 4.3802 4.3802 Å, 60.00 60.00 60.00°
Last column: nearest neighbours and their distance in Å.
Fractional coordinates of all 3 atoms:
1 Cu 0.0000 0.0000 0.0000  4 Cl 2.68
2 Si 0.5000 0.5000 0.5000  4 Cl 2.68
3 Cl 0.7500 0.7500 0.7500  4 Si 2.68, 4 Cu 2.68

Properties
Energy relative to the elements, uncorrected, eV per atom: 1.176
Calculated total energy, eV per cell: -29.66
Size of the total moment, μB/f.u.: 0.0
Crystal system: cubic